Record 1
The following is a DFT calculation (GGA-PBE) of an optimized crystal structure of Sb4RuRh.

Cell and atoms, written as CIF:
```
data_Sb4RuRh
_cell_length_a 6.459
_cell_length_b 6.466
_cell_length_c 6.505
_cell_angle_alpha 90.00
_cell_angle_beta 90.58
_cell_angle_gamma 90.00
_symmetry_space_group_name_H-M 'P 1 21/c 1'
_symmetry_Int_Tables_number 14
_symmetry_space_group_name_Hall '-P 2ybc'
loop_
_atom_site_label
_atom_site_type_symbol
_atom_site_fract_x
_atom_site_fract_y
_atom_site_fract_z
Sb1 Sb 0.126 0.131 0.135
Sb2 Sb 0.369 0.628 0.127
Ru1 Ru 0.000 0.000 0.500
Rh1 Rh 0.500 0.000 0.000
```

## Properties
total magnetization = 0.000 μB/atom
energy relative to the lowest polymorph listed for this composition = 0.00 eV per formula unit
energy relative to the elements, uncorrected = -0.165 eV per atom



Record 2
The following is a DFT calculation (GGA-PBE) of an optimized crystal structure of Ac6Te3PS2.

Cell and atoms, written as CIF:
```
data_Ac6Te3PS2
_cell_length_a 7.758
_cell_length_b 13.432
_cell_length_c 8.078
_cell_angle_alpha 90.00
_cell_angle_beta 108.68
_cell_angle_gamma 90.00
_symmetry_space_group_name_H-M 'C 1 2/m 1'
_symmetry_Int_Tables_number 12
_symmetry_space_group_name_Hall '-C 2y'
loop_
_atom_site_label
_atom_site_type_symbol
_atom_site_fract_x
_atom_site_fract_y
_atom_site_fract_z
Ac1 Ac 0.237 0.165 0.214
Ac2 Ac 0.241 0.500 0.214
Te1 Te 0.000 0.167 0.500
Te2 Te 0.000 0.500 0.500
P1 P 0.000 0.000 0.000
S1 S 0.000 0.333 0.000
```

## Properties
total magnetization = 0.000 μB/atom
energy relative to the elements, uncorrected = -1.696 eV per atom



Record 3
The following is a DFT calculation (GGA-PBE) of an optimized crystal structure of Mg2InNi.

Cell and atoms, written as CIF:
```
data_Mg2InNi
_cell_length_a 3.167
_cell_length_b 4.302
_cell_length_c 5.762
_cell_angle_alpha 90.00
_cell_angle_beta 105.86
_cell_angle_gamma 90.00
_symmetry_space_group_name_H-M 'P 1 m 1'
_symmetry_Int_Tables_number 6
_symmetry_space_group_name_Hall 'P -2y'
loop_
_atom_site_label
_atom_site_type_symbol
_atom_site_fract_x
_atom_site_fract_y
_atom_site_fract_z
Mg1 Mg 0.000 0.000 0.000
Mg2 Mg 0.345 0.500 0.689
In1 In 0.723 0.000 0.448
Ni1 Ni 0.587 0.500 0.176
```

## Properties
total magnetization = 0.000 μB/atom
formation energy = -49.7 meV per atom



Number 1: raw total energy -68.208 eV for the cell shown. Number 2: raw total energy -136.195 eV for the cell shown. Number 3: raw total energy -11.908 eV for the cell shown.